Record 1
Here is a geometry-optimized LaSn4Pd12 structure from Alexandria via LeMat-Bulk. Energies are from PBE-GGA.

Geometry as CIF:
```
data_LaSn4Pd12
_cell_length_a 7.741
_cell_length_b 7.741
_cell_length_c 7.741
_cell_angle_alpha 109.47
_cell_angle_beta 109.47
_cell_angle_gamma 109.47
_symmetry_space_group_name_H-M 'P 1'
_symmetry_Int_Tables_number 1
_symmetry_space_group_name_Hall 'P 1'
loop_
_atom_site_label
_atom_site_fract_x
_atom_site_fract_y
_atom_site_fract_z
_atom_site_occupancy
Pd1 0.850 0.352 0.202 1
Pd2 0.150 0.352 0.502 1
Pd3 0.498 0.850 0.648 1
Pd4 0.648 0.498 0.850 1
Pd5 0.850 0.648 0.498 1
Pd6 0.202 0.850 0.352 1
Pd7 0.798 0.150 0.648 1
Pd8 0.150 0.648 0.798 1
Pd9 0.352 0.202 0.850 1
Pd10 0.648 0.798 0.150 1
Pd11 0.352 0.502 0.150 1
Pd12 0.502 0.150 0.352 1
Sn1 0.000 0.000 0.500 1
Sn2 0.500 0.000 0.000 1
Sn3 0.000 0.500 0.000 1
Sn4 0.500 0.500 0.500 1
La1 0.000 0.000 0.000 1
```

Fermi-level density of states (states/eV/f.u.): 4.40
Energy of formation from the pure elements (meV/atom): -166
M_tot (μB/cell): 0.000
E (eV per atom): -5.0629
Calculated volume (Å³ per atom): 21.00



Record 2
Here is a geometry-optimized Re4Pt5 structure from Alexandria via LeMat-Bulk. Energies are from PBE-GGA.

Geometry as CIF:
```
data_Re4Pt5
_cell_length_a 3.968
_cell_length_b 6.237
_cell_length_c 6.237
_cell_angle_alpha 95.81
_cell_angle_beta 108.54
_cell_angle_gamma 71.46
_symmetry_space_group_name_H-M 'P 1'
_symmetry_Int_Tables_number 1
_symmetry_space_group_name_Hall 'P 1'
loop_
_atom_site_label
_atom_site_fract_x
_atom_site_fract_y
_atom_site_fract_z
_atom_site_occupancy
Pt1 0.670 0.000 0.341 1
Pt2 0.000 0.000 0.000 1
Pt3 0.330 0.000 0.659 1
Pt4 0.330 0.341 0.000 1
Pt5 0.670 0.659 0.000 1
Re1 0.000 0.349 0.349 1
Re2 0.349 0.651 0.349 1
Re3 0.651 0.349 0.651 1
Re4 0.000 0.651 0.651 1
```

Fermi-level density of states (states/eV/f.u.): 5.31
Energy of formation from the pure elements (meV/atom): -136
M_tot (μB/cell): 0.000
E (eV per atom): -9.0244
Calculated volume (Å³ per atom): 15.42



Record 3
Here is a geometry-optimized LiAl2Tc structure from Alexandria via LeMat-Bulk. Energies are from PBE-GGA.

Geometry as CIF:
```
data_LiAl2Tc
_cell_length_a 2.685
_cell_length_b 4.178
_cell_length_c 5.253
_cell_angle_alpha 90.00
_cell_angle_beta 90.00
_cell_angle_gamma 90.00
_symmetry_space_group_name_H-M 'P 1'
_symmetry_Int_Tables_number 1
_symmetry_space_group_name_Hall 'P 1'
loop_
_atom_site_label
_atom_site_fract_x
_atom_site_fract_y
_atom_site_fract_z
_atom_site_occupancy
Tc1 0.500 0.500 0.767 1
Li1 0.000 0.000 0.495 1
Al1 0.500 0.500 0.270 1
Al2 0.000 0.000 0.968 1
```

Fermi-level density of states (states/eV/f.u.): 2.48
Energy of formation from the pure elements (meV/atom): -74
M_tot (μB/cell): 0.000
E (eV per atom): -5.0149
Calculated volume (Å³ per atom): 14.73